DFT (PBE) results for crystalline Tb2HoTm3Sb6 at its relaxed geometry.

abc: 9.753 9.753 8.725
angles: 102.85 102.85 25.84
Fractional positions:
Tb  0.166  0.166  0.333
Tb  0.834  0.834  0.667
Ho  0.500  0.500  0.000
Tm  0.167  0.167  0.833
Tm  0.500  0.500  0.500
Tm  0.833  0.833  0.167
Sb  0.001  0.001  0.749
Sb  0.333  0.333  0.920
Sb  0.334  0.334  0.414
Sb  0.666  0.666  0.586
Sb  0.667  0.667  0.080
Sb  0.999  0.999  0.251

Output
Calculated total energy ... -0.200 Ha/atom
V ... 352.3 Å³ per cell
Theoretical density ... 8108 kg/m3

DFT (PBE) results for crystalline LiHgBr2 at its relaxed geometry.

abc: 4.140 4.140 6.565
angles: 90.00 90.00 90.00
Fractional positions:
Li  0.000  0.000  0.000
Hg  0.500  0.500  0.552
Br  0.000  0.000  0.587
Br  0.500  0.500  0.061

Output
Calculated total energy ... -0.080 Ha/atom
V ... 112.5 Å³ per cell
Theoretical density ... 5421 kg/m3
Energy above the most stable polymorph in this dataset ... 0.022 eV/atom

DFT (PBE) results for crystalline Cd2MoRu at its relaxed geometry.

abc: 3.007 3.007 7.998
angles: 90.00 90.00 90.00
Fractional positions:
Cd  0.000  0.000  0.000
Cd  0.500  0.500  0.295
Mo  0.000  0.000  0.565
Ru  0.500  0.500  0.744

Output
Calculated total energy ... -0.197 Ha/atom
V ... 72.3 Å³ per cell
Theoretical density ... 9684 kg/m3
Energy above the most stable polymorph in this dataset ... 0.000 eV/atom
E_form ... 0.5 eV/f.u.

DFT (PBE) results for crystalline AgHg2WBr at its relaxed geometry.

abc: 6.442 6.442 4.896
angles: 90.00 90.00 90.00
Fractional positions:
Ag  0.000  0.000  0.000
Hg  0.000  0.500  0.500
Hg  0.500  0.000  0.500
W  0.500  0.500  0.000
Br  0.000  0.000  0.500

Output
Calculated total energy ... -0.073 Ha/atom
V ... 203.2 Å³ per cell
Theoretical density ... 6317 kg/m3

DFT (PBE) results for crystalline ZnCd2Ag at its relaxed geometry.

abc: 3.110 3.110 27.919
angles: 90.00 90.00 120.00
Fractional positions:
Zn  0.000  0.000  0.000
Zn  0.333  0.667  0.667
Zn  0.667  0.333  0.333
Cd  0.000  0.000  0.252
Cd  0.000  0.000  0.748
Cd  0.333  0.667  0.415
Cd  0.333  0.667  0.918
Cd  0.667  0.333  0.082
Cd  0.667  0.333  0.585
Ag  0.000  0.000  0.500
Ag  0.333  0.667  0.167
Ag  0.667  0.333  0.833

Output
Calculated total energy ... -0.052 Ha/atom
V ... 233.8 Å³ per cell
Theoretical density ... 8483 kg/m3
E_form ... 0.3 eV/f.u.

DFT (PBE) results for crystalline KNiGe2Pd at its relaxed geometry.

abc: 5.338 5.338 4.378
angles: 90.00 90.00 90.00
Fractional positions:
K  0.000  0.000  0.000
Ni  0.000  0.000  0.500
Ge  0.000  0.500  0.000
Ge  0.500  0.000  0.000
Pd  0.500  0.500  0.500

Output
Calculated total energy ... -0.089 Ha/atom
V ... 124.7 Å³ per cell
Theoretical density ... 4653 kg/m3
E_form ... 9.3 eV/f.u.

DFT (PBE) results for crystalline HfCd2Hg2 at its relaxed geometry.

abc: 3.853 3.853 15.863
angles: 90.00 90.00 90.00
Fractional positions:
Hf  0.000  0.000  0.000
Hf  0.500  0.500  0.500
Cd  0.000  0.500  0.250
Cd  0.000  0.500  0.750
Cd  0.500  0.000  0.250
Cd  0.500  0.000  0.750
Hg  0.000  0.000  0.404
Hg  0.000  0.000  0.596
Hg  0.500  0.500  0.096
Hg  0.500  0.500  0.904

Output
Calculated total energy ... -0.080 Ha/atom
V ... 235.5 Å³ per cell
Theoretical density ... 11345 kg/m3
Energy above the most stable polymorph in this dataset ... 0.098 eV/atom
E_form ... 1.5 eV/f.u.

DFT (PBE) results for crystalline CeZn2In at its relaxed geometry.

abc: 4.489 5.369 7.717
angles: 90.00 90.00 90.00
Fractional positions:
Ce  0.000  0.000  0.000
Ce  0.000  0.500  0.500
Zn  0.000  0.000  0.400
Zn  0.000  0.500  0.900
Zn  0.500  0.000  0.275
Zn  0.500  0.500  0.775
In  0.500  0.000  0.647
In  0.500  0.500  0.147

Output
Calculated total energy ... -0.106 Ha/atom
V ... 186.0 Å³ per cell
Theoretical density ... 6888 kg/m3
E_form ... -0.4 eV/f.u.